(1)
# Ba2LaBr | the Alexandria database | meta-GGA SCAN | PBEsol geometry
data_Ba2LaBr
_space_group_name_H-M_alt 'P 1 m 1'
_space_group_IT_number 6
_cell_length_a 4.126
_cell_length_b 5.566
_cell_length_c 6.691
_cell_angle_alpha 90.00
_cell_angle_beta 104.98
_cell_angle_gamma 90.00
loop_
_space_group_symop_operation_xyz
'x,y,z'
'x,-y,z'
loop_
_atom_site_label
_atom_site_fract_x
_atom_site_fract_y
_atom_site_fract_z
Ba1 0.000 0.000 0.000
Ba2 0.285 0.500 0.597
La1 0.664 0.000 0.438
Br1 0.569 0.500 0.154
# Final energy in eV per cell: -143.785
# V in Å³/cell: 148.4
# Energy relative to the elements, uncorrected in eV per atom: -0.53


(2)
# YTl | the Alexandria database | meta-GGA SCAN | PBEsol geometry
data_YTl
_space_group_name_H-M_alt 'R -3 m'
_space_group_IT_number 166
_space_group_name_Hall '-R 3 2"'
_cell_length_a 3.7157
_cell_length_b 3.7157
_cell_length_c 14.0106
_cell_angle_alpha 90.00
_cell_angle_beta 90.00
_cell_angle_gamma 120.00
loop_
_atom_site_label
_atom_site_fract_x
_atom_site_fract_y
_atom_site_fract_z
Y1 0.0000 0.0000 0.0000
Tl1 0.0000 0.0000 0.5000
# Final energy in eV per cell: -303.510
# V in Å³/cell: 167.5
# Formation enthalpy at 0 K in meV per atom: -484


(3)
# SnBPO2 | the Alexandria database | meta-GGA SCAN | PBEsol geometry
data_SnBPO2
_space_group_name_H-M_alt 'P 4/m m m'
_space_group_IT_number 123
_space_group_name_Hall '-P 4 2'
_cell_length_a 3.578
_cell_length_b 3.578
_cell_length_c 4.268
_cell_angle_alpha 90.00
_cell_angle_beta 90.00
_cell_angle_gamma 90.00
loop_
_atom_site_label
_atom_site_fract_x
_atom_site_fract_y
_atom_site_fract_z
Sn1 0.000 0.000 0.000
B1 0.500 0.500 0.500
P1 0.500 0.500 0.000
O1 0.000 0.500 0.500
# Final energy in eV per cell: -66.082
# V in Å³/cell: 54.6
# Energy relative to the elements, uncorrected in eV per atom: 0.03


(4)
# PbBr2 | the Alexandria database | meta-GGA SCAN | PBEsol geometry
data_PbBr2
_space_group_name_H-M_alt 'C m c m'
_space_group_IT_number 63
_space_group_name_Hall '-C 2c 2'
_cell_length_a 3.900
_cell_length_b 24.005
_cell_length_c 4.487
_cell_angle_alpha 90.00
_cell_angle_beta 90.00
_cell_angle_gamma 90.00
loop_
_atom_site_label
_atom_site_fract_x
_atom_site_fract_y
_atom_site_fract_z
Pb1 0.000 0.109 0.250
Br1 0.000 0.305 0.750
Br2 0.000 0.435 0.250
# Final energy in eV per cell: -468.934
# V in Å³/cell: 420.1
# Energy relative to the elements, uncorrected in eV per atom: -0.84


(5)
# Li2Cd2As | the Alexandria database | meta-GGA SCAN | PBEsol geometry
data_Li2Cd2As
_space_group_name_H-M_alt 'P 4/m b m'
_space_group_IT_number 127
_space_group_name_Hall '-P 4 2ab'
_cell_length_a 7.742
_cell_length_b 7.742
_cell_length_c 3.043
_cell_angle_alpha 90.00
_cell_angle_beta 90.00
_cell_angle_gamma 90.00
loop_
_atom_site_label
_atom_site_fract_x
_atom_site_fract_y
_atom_site_fract_z
Li1 0.164 0.336 0.000
Cd1 0.134 0.634 0.500
As1 0.000 0.000 0.500
# Final energy in eV per cell: -173.038
# V in Å³/cell: 182.4
# Formation enthalpy at 0 K in meV per atom: -144


(6)
# Mo2PtCl | the Alexandria database | meta-GGA SCAN | PBEsol geometry
data_Mo2PtCl
_space_group_name_H-M_alt 'P 4/m m m'
_space_group_IT_number 123
_space_group_name_Hall '-P 4 2'
_cell_length_a 2.928
_cell_length_b 2.928
_cell_length_c 6.706
_cell_angle_alpha 90.00
_cell_angle_beta 90.00
_cell_angle_gamma 90.00
loop_
_atom_site_label
_atom_site_fract_x
_atom_site_fract_y
_atom_site_fract_z
Mo1 0.000 0.000 0.232
Pt1 0.500 0.500 0.500
Cl1 0.500 0.500 0.000
# Final energy in eV per cell: -146.522
# V in Å³/cell: 57.5
# Energy relative to the elements, uncorrected in eV per atom: 0.35


(7)
# Sr2LiY | the Alexandria database | meta-GGA SCAN | PBEsol geometry
data_Sr2LiY
_space_group_name_H-M_alt 'F m -3 m'
_space_group_IT_number 225
_space_group_name_Hall '-F 4 2 3'
_cell_length_a 8.505
_cell_length_b 8.505
_cell_length_c 8.505
_cell_angle_alpha 90.00
_cell_angle_beta 90.00
_cell_angle_gamma 90.00
loop_
_atom_site_label
_atom_site_fract_x
_atom_site_fract_y
_atom_site_fract_z
Sr1 0.250 0.250 0.250
Li1 0.000 0.000 0.000
Y1 0.000 0.000 0.500
# Final energy in eV per cell: -294.413
# V in Å³/cell: 615.3
# Formation enthalpy at 0 K in meV per atom: 295


(8)
# SmZnSn | the Alexandria database | meta-GGA SCAN | PBEsol geometry
data_SmZnSn
_space_group_name_H-M_alt 'P 63/m m c'
_space_group_IT_number 194
_space_group_name_Hall '-P 6c 2c'
_cell_length_a 4.5659
_cell_length_b 4.5659
_cell_length_c 7.4820
_cell_angle_alpha 90.00
_cell_angle_beta 90.00
_cell_angle_gamma 120.00
loop_
_atom_site_label
_atom_site_fract_x
_atom_site_fract_y
_atom_site_fract_z
Sm1 0.0000 0.0000 0.0000
Zn1 0.3333 0.6667 0.2500
Sn1 0.3333 0.6667 0.7500
# Final energy in eV per cell: -191.835
# V in Å³/cell: 135.1
# Formation enthalpy at 0 K in meV per atom: -680


Question: Which of these has the highest V?
Answer: Sr2LiY